First-principles (PBE-GGA) data for a relaxed structure of PmZrInSn, as listed in the Alexandria database.

Summary:
crystal system	cubic
calculated total energy	-5.3149	eV/atom
E_form	-0.305	eV per atom

a b c (Å): 5.2434 5.2434 5.2434
angles (deg): 60.00 60.00 60.00
With the nearest neighbours (Å) after each atom.
Atoms (fractional coordinates):
Zr  0.2500  0.2500  0.2500  4 In 3.21, 4 Sn 3.21
Pm  0.7500  0.7500  0.7500  4 In 3.21, 4 Sn 3.21
In  0.0000  0.0000  0.0000  4 Pm 3.21, 4 Zr 3.21
Sn  0.5000  0.5000  0.5000  4 Zr 3.21, 4 Pm 3.21